1.
Material: Ca3Tl2I8
Method: DFT, PBE-GGA
State: relaxed

abc: 9.741 9.741 7.999
angles: 105.33 105.33 56.61
Positions (direct):
Ca  0.000  0.000  0.000
Ca  0.258  0.742  0.500
Ca  0.742  0.258  0.500
Tl  0.264  0.264  0.839
Tl  0.736  0.736  0.161
I  0.106  0.106  0.402
I  0.127  0.655  0.104
I  0.345  0.873  0.896
I  0.385  0.385  0.558
I  0.615  0.615  0.442
I  0.655  0.127  0.104
I  0.873  0.345  0.896
I  0.894  0.894  0.598

Properties
Volume, Å³/cell: 604.4
DOS(E_F), states/eV per atom: 0.00
Raw formation energy, meV/atom: -1315.3

---

2.
Material: Ba4TiP4
Method: DFT, PBE-GGA
State: relaxed

abc: 9.219 9.219 6.890
angles: 90.00 90.00 90.00
Positions (direct):
Ba  0.024  0.250  0.080
Ba  0.250  0.024  0.580
Ba  0.250  0.476  0.580
Ba  0.476  0.250  0.080
Ba  0.524  0.750  0.920
Ba  0.750  0.524  0.420
Ba  0.750  0.976  0.420
Ba  0.976  0.750  0.920
Ti  0.250  0.750  0.250
Ti  0.750  0.250  0.750
P  0.033  0.750  0.445
P  0.250  0.533  0.055
P  0.250  0.967  0.055
P  0.467  0.750  0.445
P  0.533  0.250  0.555
P  0.750  0.033  0.945
P  0.750  0.467  0.945
P  0.967  0.250  0.555

Properties
Volume, Å³/cell: 585.6
Energy above the most stable polymorph in this dataset, meV/atom: 22.4

---

3.
Material: HfIrPt
Method: DFT, PBE-GGA
State: relaxed

abc: 3.872 4.002 6.727
angles: 90.00 106.71 90.00
Positions (direct):
Hf  0.095  0.250  0.189
Hf  0.905  0.750  0.811
Ir  0.419  0.250  0.840
Ir  0.581  0.750  0.160
Pt  0.252  0.750  0.504
Pt  0.748  0.250  0.496

Properties
Volume, Å³/cell: 99.8
DOS(E_F), states/eV per atom: 0.63
Energy above the most stable polymorph in this dataset, meV/atom: 0.0

---

4.
Material: Ga2SnHg2
Method: DFT, PBE-GGA
State: relaxed

abc: 7.024 7.024 7.024
angles: 143.88 143.88 52.01
Positions (direct):
Ga  0.100  0.100  0.000
Ga  0.900  0.900  0.000
Sn  0.500  0.500  0.000
Hg  0.250  0.750  0.500
Hg  0.750  0.250  0.500

Properties
Volume, Å³/cell: 119.8
DOS(E_F), states/eV per atom: 0.47
Energy above the most stable polymorph in this dataset, meV/atom: 104.3

---

5.
Material: ZrBW
Method: DFT, PBE-GGA
State: relaxed

abc: 7.871 7.871 6.580
angles: 92.82 92.82 29.72
Positions (direct):
Zr  0.067  0.067  0.328
Zr  0.411  0.411  0.135
Zr  0.589  0.589  0.865
Zr  0.933  0.933  0.672
B  0.150  0.150  0.642
B  0.166  0.166  0.085
B  0.834  0.834  0.915
B  0.850  0.850  0.358
W  0.265  0.265  0.388
W  0.265  0.265  0.861
W  0.735  0.735  0.139
W  0.735  0.735  0.612

Properties
Volume, Å³/cell: 201.9
DOS(E_F), states/eV per atom: 0.50
Energy above the most stable polymorph in this dataset, meV/atom: 475.9

---

6.
Material: Ga2GeCl
Method: DFT, PBE-GGA
State: relaxed

abc: 7.490 7.490 7.490
angles: 31.99 31.99 31.99
Positions (direct):
Ga  0.113  0.113  0.113
Ga  0.887  0.887  0.887
Ge  0.500  0.500  0.500
Cl  0.000  0.000  0.000

Properties
Volume, Å³/cell: 104.8
DOS(E_F), states/eV per atom: 0.23
Energy above the most stable polymorph in this dataset, meV/atom: 0.0
Raw formation energy, meV/atom: -238.3

---

Q: What is the volume in the fourth record?
A: 119.8 Å³/cell